(a)
# GeWIO2 (GGA+U, optimized geometry)
# DOS at the Fermi energy: 2.5 states/eV/f.u.
data_GeWIO2
_chemical_formula_sum 'Ge1 W1 I1 O2'
_symmetry_space_group_name_H-M 'P 4/m m m'
_symmetry_Int_Tables_number 123
_symmetry_space_group_name_Hall '-P 4 2'
_cell_length_a 3.973
_cell_length_b 3.973
_cell_length_c 7.739
_cell_angle_alpha 90.00
_cell_angle_beta 90.00
_cell_angle_gamma 90.00
loop_
_atom_site_label
_atom_site_type_symbol
_atom_site_fract_x
_atom_site_fract_y
_atom_site_fract_z
Ge1 Ge 0.000 0.000 0.000
W1 W 0.500 0.500 0.500
I1 I 0.500 0.500 0.000
O1 O 0.000 0.500 0.500

***

(b)
# GeWIO2 (GGA+U, optimized geometry)
# DOS at the Fermi energy: 1.8 states/eV/f.u.
data_GeWIO2
_chemical_formula_sum 'Ge1 W1 I1 O2'
_symmetry_space_group_name_H-M 'P 4/m m m'
_symmetry_Int_Tables_number 123
_symmetry_space_group_name_Hall '-P 4 2'
_cell_length_a 3.959
_cell_length_b 3.959
_cell_length_c 6.251
_cell_angle_alpha 90.00
_cell_angle_beta 90.00
_cell_angle_gamma 90.00
loop_
_atom_site_label
_atom_site_type_symbol
_atom_site_fract_x
_atom_site_fract_y
_atom_site_fract_z
Ge1 Ge 0.000 0.000 0.000
W1 W 0.500 0.500 0.500
I1 I 0.000 0.000 0.500
O1 O 0.000 0.500 0.000

***

The calculated energies rank the structures as follows, beginning with the most stable: (a), (b).